[1]
The following is a DFT calculation (PBE) of an optimized crystal structure of LaSm8Tm6.

Output
Distance to the lowest polymorph of the same formula = 0 kJ/mol of formula units
Volume = 493 Å³ per cell
Density = 7.94 g/cm3
E = -67.475 eV/cell
Energy relative to the elements = 0.1356 eV/atom

Unit cell a=8.7052 b=8.7052 c=8.7052 alpha=62.52 beta=62.52 gamma=62.52
Last column: nearest neighbours and their distance in Å.
Fractional coordinates of all 15 atoms:
La 0.0000 0.0000 0.0000  6 Tm 3.51, 6 Sm 3.53
Sm 0.1133 0.7520 0.7157  5 Sm 3.41-3.44, 2 Tm 3.43, 1 La 3.53
Sm 0.2480 0.2843 0.8867  5 Sm 3.41-3.44, 2 Tm 3.43, 1 La 3.53
Sm 0.2843 0.8867 0.2480  5 Sm 3.41-3.44, 2 Tm 3.43, 1 La 3.53
Sm 0.4223 0.4223 0.4223  4 Sm 3.25-3.41, 3 Tm 3.36
Sm 0.5777 0.5777 0.5777  4 Sm 3.25-3.41, 3 Tm 3.36
Sm 0.7157 0.1133 0.7520  5 Sm 3.41-3.44, 2 Tm 3.43, 1 La 3.53
Sm 0.7520 0.7157 0.1133  5 Sm 3.41-3.44, 2 Tm 3.43, 1 La 3.53
Sm 0.8867 0.2480 0.2843  5 Sm 3.41-3.44, 2 Tm 3.43, 1 La 3.53
Tm 0.0960 0.2512 0.5336  3 Sm 3.36-3.43, 3 Tm 3.47-3.71, 1 La 3.51
Tm 0.2512 0.5336 0.0960  3 Sm 3.36-3.43, 3 Tm 3.47-3.71, 1 La 3.51
Tm 0.4664 0.9040 0.7488  3 Sm 3.36-3.43, 3 Tm 3.47-3.71, 1 La 3.51
Tm 0.5336 0.0960 0.2512  3 Sm 3.36-3.43, 3 Tm 3.47-3.71, 1 La 3.51
Tm 0.7488 0.4664 0.9040  3 Sm 3.36-3.43, 3 Tm 3.47-3.71, 1 La 3.51
Tm 0.9040 0.7488 0.4664  3 Sm 3.36-3.43, 3 Tm 3.47-3.71, 1 La 3.51

[2]
The following is a DFT calculation (PBE) of an optimized crystal structure of La2Sm3Tm4.

Output
Distance to the lowest polymorph of the same formula = 0 kJ/mol of formula units
Volume = 295 Å³ per cell
Density = 7.90 g/cm3
E = -41.634 eV/cell
Energy relative to the elements = 0.0294 eV/atom

Unit cell a=8.0449 b=8.0449 c=8.0103 alpha=107.36 beta=107.36 gamma=36.87
Last column: nearest neighbours and their distance in Å.
Fractional coordinates of all 9 atoms:
La 0.1661 0.1661 0.0004  5 Sm 3.59-3.62, 5 Tm 3.59-3.64, 2 La 3.61
La 0.8339 0.8339 0.9996  5 Sm 3.59-3.62, 5 Tm 3.59-3.64, 2 La 3.61
Sm 0.3893 0.3893 0.3371  7 Tm 3.52-3.61, 2 Sm 3.56-3.61, 3 La 3.61-3.62
Sm 0.5000 0.5000 0.0000  4 La 3.59, 2 Sm 3.61, 6 Tm 3.61-3.62
Sm 0.6107 0.6107 0.6629  7 Tm 3.52-3.61, 2 Sm 3.56-3.61, 3 La 3.61-3.62
Tm 0.0576 0.0576 0.3390  4 Tm 3.54-3.57, 6 Sm 3.54-3.62, 2 La 3.59-3.63
Tm 0.2780 0.2780 0.6613  4 Sm 3.52-3.61, 5 Tm 3.53-3.57, 3 La 3.62-3.64
Tm 0.7220 0.7220 0.3387  4 Sm 3.52-3.61, 5 Tm 3.53-3.57, 3 La 3.62-3.64
Tm 0.9424 0.9424 0.6610  4 Tm 3.54-3.57, 6 Sm 3.54-3.62, 2 La 3.59-3.63

[3]
The following is a DFT calculation (PBE) of an optimized crystal structure of LaSm3Tm5.

Output
Distance to the lowest polymorph of the same formula = 160 kJ/mol of formula units
Volume = 652 Å³ per cell
Density = 7.31 g/cm3
E = -73.770 eV/cell
Energy relative to the elements = 0.5064 eV/atom

Unit cell a=9.5023 b=9.5023 c=9.9711 alpha=121.64 beta=121.64 gamma=72.52
Last column: nearest neighbours and their distance in Å.
Fractional coordinates of all 18 atoms:
La 0.2459 0.2459 0.4076  4 Sm 3.14-3.37, 2 Tm 3.36-3.47
La 0.7541 0.7541 0.5924  4 Sm 3.14-3.37, 2 Tm 3.36-3.47
Sm 0.0000 0.0000 0.0000  4 Tm 2.93-3.20
Sm 0.0239 0.0239 0.3648  1 La 3.14, 2 Sm 3.22-3.41, 4 Tm 3.29-3.49
Sm 0.4912 0.4912 0.1921  1 Sm 2.98, 3 Tm 3.17-3.30
Sm 0.5000 0.5000 0.5000  2 Sm 2.98
Sm 0.5088 0.5088 0.8079  1 Sm 2.98, 3 Tm 3.17-3.30
Sm 0.9761 0.9761 0.6352  1 La 3.14, 2 Sm 3.22-3.41, 4 Tm 3.29-3.49
Tm 0.0975 0.6019 0.2465  3 Tm 3.29-3.60, 2 Sm 3.49
Tm 0.2248 0.2248 0.0397  3 Sm 3.20-3.30, 3 Tm 3.26-3.29, 1 La 3.47
Tm 0.2609 0.7391 0.0000  1 Sm 2.93
Tm 0.2836 0.2836 0.7793  3 Sm 3.17-3.39, 3 Tm 3.26-3.36, 1 La 3.36
Tm 0.3981 0.9025 0.7535  3 Tm 3.29-3.60, 2 Sm 3.49
Tm 0.6019 0.0975 0.2465  3 Tm 3.29-3.60, 2 Sm 3.49
Tm 0.7164 0.7164 0.2207  3 Sm 3.17-3.39, 3 Tm 3.26-3.36, 1 La 3.36
Tm 0.7391 0.2609 0.0000  1 Sm 2.93
Tm 0.7752 0.7752 0.9603  3 Sm 3.20-3.30, 3 Tm 3.26-3.29, 1 La 3.47
Tm 0.9025 0.3981 0.7535  3 Tm 3.29-3.60, 2 Sm 3.49

[4]
The following is a DFT calculation (PBE) of an optimized crystal structure of La8Sm3Tm3.

Output
Volume = 488 Å³ per cell
Density = 7.05 g/cm3
E = -65.692 eV/cell
Energy relative to the elements = 0.0928 eV/atom

Unit cell a=9.8921 b=9.8921 c=9.8921 alpha=146.24 beta=112.21 gamma=77.92
Last column: nearest neighbours and their distance in Å.
Fractional coordinates of all 14 atoms:
La 0.0574 0.3946 0.6628  5 La 3.24-3.59, 2 Tm 3.63
La 0.0684 0.2268 0.8416  6 La 3.25-3.58
La 0.2682 0.6054 0.6628  5 La 3.24-3.59, 2 Tm 3.63
La 0.3852 0.2268 0.1584  6 La 3.25-3.58
La 0.6148 0.7732 0.8416  6 La 3.25-3.58
La 0.7318 0.3946 0.3372  5 La 3.24-3.59, 2 Tm 3.63
La 0.9316 0.7732 0.1584  6 La 3.25-3.58
La 0.9426 0.6054 0.3372  5 La 3.24-3.59, 2 Tm 3.63
Sm 0.3237 0.8237 0.5000  2 Tm 3.49, 8 La 3.68-3.85
Sm 0.5000 0.5000 0.0000  4 Tm 3.62, 4 Sm 3.95
Sm 0.6763 0.1763 0.5000  2 Tm 3.49, 8 La 3.68-3.85
Tm 0.0000 0.0000 0.0000  2 Tm 3.32
Tm 0.3005 0.0000 0.3005  1 Tm 3.32, 4 Sm 3.49-3.62, 4 La 3.63
Tm 0.6995 0.0000 0.6995  1 Tm 3.32, 4 Sm 3.49-3.62, 4 La 3.63

[5]
The following is a DFT calculation (PBE) of an optimized crystal structure of La4Sm4Tm3.

Output
Distance to the lowest polymorph of the same formula = 57 kJ/mol of formula units
Volume = 384 Å³ per cell
Density = 7.19 g/cm3
E = -50.754 eV/cell
Energy relative to the elements = 0.1133 eV/atom

Unit cell a=12.1197 b=12.1197 c=12.1197 alpha=162.63 beta=133.55 gamma=49.95
Last column: nearest neighbours and their distance in Å.
Fractional coordinates of all 11 atoms:
La 0.0250 0.8563 0.1687  1 La 3.22, 1 Sm 3.45
La 0.3124 0.1437 0.1687  1 La 3.22, 1 Sm 3.45
La 0.6876 0.8563 0.8313  1 La 3.22, 1 Sm 3.45
La 0.9750 0.1437 0.8313  1 La 3.22, 1 Sm 3.45
Sm 0.2665 0.7665 0.5000  2 Tm 3.40, 6 La 3.64-3.73, 2 Sm 3.66
Sm 0.3131 0.0000 0.3131  6 Tm 3.42-3.51, 2 La 3.45, 3 Sm 3.57-3.66
Sm 0.6869 0.0000 0.6869  6 Tm 3.42-3.51, 2 La 3.45, 3 Sm 3.57-3.66
Sm 0.7335 0.2335 0.5000  2 Tm 3.40, 6 La 3.64-3.73, 2 Sm 3.66
Tm 0.0000 0.5000 0.5000  4 Sm 3.51, 2 Tm 3.66
Tm 0.3969 0.3969 0.0000  6 Sm 3.40-3.42, 2 Tm 3.66, 4 La 3.76
Tm 0.6031 0.6031 0.0000  6 Sm 3.40-3.42, 2 Tm 3.66, 4 La 3.76

[6]
The following is a DFT calculation (PBE) of an optimized crystal structure of La3Sm4Tm.

Output
Distance to the lowest polymorph of the same formula = 88 kJ/mol of formula units
Volume = 280 Å³ per cell
Density = 7.04 g/cm3
E = -37.205 eV/cell
Energy relative to the elements = 0.1157 eV/atom

Unit cell a=9.0850 b=9.0850 c=9.0850 alpha=157.49 beta=97.91 gamma=86.48
Last column: nearest neighbours and their distance in Å.
Fractional coordinates of all 8 atoms:
La 0.0000 0.0000 0.0000  6 La 3.55-3.85, 8 Sm 3.94
La 0.2582 0.7582 0.5000  6 Sm 3.46-3.71, 4 La 3.55-3.85, 2 Tm 3.66
La 0.7418 0.2418 0.5000  6 Sm 3.46-3.71, 4 La 3.55-3.85, 2 Tm 3.66
Sm 0.1209 0.3665 0.7545  1 Tm 3.42, 3 La 3.46-3.71, 5 Sm 3.53-3.56
Sm 0.3880 0.6335 0.7545  1 Tm 3.42, 3 La 3.46-3.71, 5 Sm 3.53-3.56
Sm 0.6120 0.3665 0.2455  1 Tm 3.42, 3 La 3.46-3.71, 5 Sm 3.53-3.56
Sm 0.8791 0.6335 0.2455  1 Tm 3.42, 3 La 3.46-3.71, 5 Sm 3.53-3.56
Tm 0.5000 0.5000 0.0000  4 Sm 3.42, 2 Tm 3.55, 4 La 3.66

[7]
The following is a DFT calculation (PBE) of an optimized crystal structure of La4SmTm4.

Output
Volume = 302 Å³ per cell
Density = 7.60 g/cm3
E = -42.025 eV/cell
Energy relative to the elements = 0.0322 eV/atom

Unit cell a=8.0853 b=8.0853 c=8.0853 alpha=95.79 beta=95.79 gamma=142.96
Last column: nearest neighbours and their distance in Å.
Fractional coordinates of all 9 atoms:
La 0.0000 0.3305 0.3305  1 Sm 3.58, 6 Tm 3.61-3.64, 5 La 3.65-3.68
La 0.0000 0.6695 0.6695  1 Sm 3.58, 6 Tm 3.61-3.64, 5 La 3.65-3.68
La 0.3305 0.0000 0.3305  1 Sm 3.58, 6 Tm 3.61-3.64, 5 La 3.65-3.68
La 0.6695 0.0000 0.6695  1 Sm 3.58, 6 Tm 3.61-3.64, 5 La 3.65-3.68
Sm 0.0000 0.0000 0.0000  4 La 3.58, 8 Tm 3.60
Tm 0.3354 0.3354 0.6707  4 Tm 3.57-3.67, 2 Sm 3.60, 6 La 3.61-3.64
Tm 0.3354 0.6646 0.0000  4 Tm 3.57-3.67, 2 Sm 3.60, 6 La 3.61-3.64
Tm 0.6646 0.3354 0.0000  4 Tm 3.57-3.67, 2 Sm 3.60, 6 La 3.61-3.64
Tm 0.6646 0.6646 0.3293  4 Tm 3.57-3.67, 2 Sm 3.60, 6 La 3.61-3.64

[8]
The following is a DFT calculation (PBE) of an optimized crystal structure of La6SmTm4.

Output
Volume = 763 Å³ per cell
Density = 7.23 g/cm3
E = -102.246 eV/cell
Energy relative to the elements = 0.0951 eV/atom

Unit cell a=5.7455 b=5.7455 c=26.3196 alpha=90.00 beta=90.00 gamma=118.62
Last column: nearest neighbours and their distance in Å.
Fractional coordinates of all 22 atoms:
La 0.0000 0.0000 0.0000  8 Tm 3.29-3.58
La 0.0000 0.0000 0.5000  8 Tm 3.29-3.58
La 0.0298 0.9702 0.7500  2 Tm 3.30, 3 Sm 3.34
La 0.3167 0.6833 0.0955  7 Tm 3.43-3.73
La 0.3167 0.6833 0.4045  7 Tm 3.43-3.73
La 0.3569 0.6431 0.6810  4 Tm 3.56-3.67, 5 La 3.63-3.93, 3 Sm 3.77-3.82
La 0.3569 0.6431 0.8190  4 Tm 3.56-3.67, 5 La 3.63-3.93, 3 Sm 3.77-3.82
La 0.6431 0.3569 0.1810  4 Tm 3.56-3.67, 5 La 3.63-3.93, 3 Sm 3.77-3.82
La 0.6431 0.3569 0.3190  4 Tm 3.56-3.67, 5 La 3.63-3.93, 3 Sm 3.77-3.82
La 0.6833 0.3167 0.5955  7 Tm 3.43-3.73
La 0.6833 0.3167 0.9045  7 Tm 3.43-3.73
La 0.9702 0.0298 0.2500  2 Tm 3.30, 3 Sm 3.34
Sm 0.3082 0.6918 0.2500  3 La 3.34
Sm 0.6918 0.3082 0.7500  3 La 3.34
Tm 0.0220 0.9780 0.6248  8 La 3.29-3.67
Tm 0.0220 0.9780 0.8752  8 La 3.29-3.67
Tm 0.3411 0.6589 0.5458  8 La 3.54-3.73, 2 Tm 3.78-3.96
Tm 0.3411 0.6589 0.9542  8 La 3.54-3.73, 2 Tm 3.78-3.96
Tm 0.6589 0.3411 0.0458  8 La 3.54-3.73, 2 Tm 3.78-3.96
Tm 0.6589 0.3411 0.4542  8 La 3.54-3.73, 2 Tm 3.78-3.96
Tm 0.9780 0.0220 0.1248  8 La 3.29-3.67
Tm 0.9780 0.0220 0.3752  8 La 3.29-3.67